# 1
DFT (PBE) results for a relaxed Sm4AlTl crystal.

The space group is Pmmm (No. 47) and the conventional cell measures 3.745, 5.798 and 8.709 Å, with angles of 90.00, 90.00 and 90.00 degrees. The asymmetric unit holds Sm at (0.000, 0.000, 0.199), Sm at (0.500, 0.500, 0.281), Al at (0.000, 0.500, 0.000) and Tl at (0.500, 0.000, 0.500).

The calculation puts the energy of formation from the pure elements at -15 meV per atom. The calculation puts the calculated total energy at -4.18 eV/atom. For the energy relative to the lowest polymorph listed for this composition, the calculation gives 2.40 kJ per mole of atoms. Its density of states at the Fermi level is 7.343 states/eV per cell.



# 2
DFT (PBE) results for a relaxed Sm7Al2Tl2 crystal.

The space group is Cmmm (No. 65) and the conventional cell measures 7.778, 11.129 and 8.064 Å, with angles of 90.00, 90.00 and 90.00 degrees. The asymmetric unit holds Sm at (0.000, 0.000, 0.000), Sm at (0.000, 0.500, 0.279), Sm at (0.250, 0.250, 0.298), Al at (0.167, 0.000, 0.500) and Tl at (0.000, 0.296, 0.000).

The calculation puts the energy of formation from the pure elements at -6 meV per atom. The calculation puts the calculated total energy at -4.12 eV/atom. Its density of states at the Fermi level is 32.247 states/eV per cell.



# 3
DFT (PBE) results for a relaxed Sm6AlTl3 crystal.

The space group is P2_1/m (No. 11) and the conventional cell measures 11.809, 3.727 and 14.490 Å, with angles of 90.00, 106.33 and 90.00 degrees. The asymmetric unit holds Sm at (0.008, 0.250, 0.180), Sm at (0.105, 0.750, 0.415), Sm at (0.244, 0.250, 0.832), Sm at (0.325, 0.250, 0.258), Sm at (0.367, 0.250, 0.635), Sm at (0.380, 0.750, 0.039), Al at (0.454, 0.750, 0.819), Tl at (0.126, 0.750, 0.641), Tl at (0.139, 0.250, 0.017) and Tl at (0.389, 0.750, 0.451).

The calculation puts the energy of formation from the pure elements at -189 meV per atom. The calculation puts the calculated total energy at -4.10 eV/atom. For the energy relative to the lowest polymorph listed for this composition, the calculation gives 9.06 kJ per mole of atoms. Its density of states at the Fermi level is 20.550 states/eV per cell.



# 4
DFT (PBE) results for a relaxed Sm3Al2Tl crystal.

The space group is P4/mmm (No. 123) and the conventional cell measures 3.715, 3.715 and 11.441 Å, with angles of 90.00, 90.00 and 90.00 degrees. The asymmetric unit holds Sm at (0.000, 0.000, 0.000), Sm at (0.000, 0.000, 0.319), Al at (0.500, 0.500, 0.160) and Tl at (0.500, 0.500, 0.500).

The calculation puts the energy of formation from the pure elements at -372 meV per atom. The calculation puts the calculated total energy at -4.37 eV/atom. Its density of states at the Fermi level is 3.010 states/eV per cell.



# 5
DFT (PBE) results for a relaxed Sm4AlTl crystal.

The space group is Cmc2_1 (No. 36) and the conventional cell measures 5.316, 22.712 and 6.647 Å, with angles of 90.00, 90.00 and 90.00 degrees. The asymmetric unit holds Sm at (0.000, 0.067, 0.000), Sm at (0.000, 0.203, 0.243), Sm at (0.000, 0.204, 0.760), Sm at (0.000, 0.366, 0.002), Al at (0.000, 0.335, 0.501) and Tl at (0.000, 0.068, 0.500).

The calculation puts the energy of formation from the pure elements at -40 meV per atom. The calculation puts the calculated total energy at -4.20 eV/atom. For the energy relative to the lowest polymorph listed for this composition, the calculation gives 0.00 kJ per mole of atoms. Its density of states at the Fermi level is 28.433 states/eV per cell.



# 6
DFT (PBE) results for a relaxed Sm2AlTl crystal.

The space group is P4/mmm (No. 123) and the conventional cell measures 3.728, 3.728 and 7.776 Å, with angles of 90.00, 90.00 and 90.00 degrees. The asymmetric unit holds Sm at (0.000, 0.000, 0.236), Al at (0.500, 0.500, 0.000) and Tl at (0.500, 0.500, 0.500).

The calculation puts the energy of formation from the pure elements at -368 meV per atom. The calculation puts the calculated total energy at -4.26 eV/atom. Its density of states at the Fermi level is 2.376 states/eV per cell.



Please write out number 2 again, unchanged.
DFT (PBE) results for a relaxed Sm7Al2Tl2 crystal.

The space group is Cmmm (No. 65) and the conventional cell measures 7.778, 11.129 and 8.064 Å, with angles of 90.00, 90.00 and 90.00 degrees. The asymmetric unit holds Sm at (0.000, 0.000, 0.000), Sm at (0.000, 0.500, 0.279), Sm at (0.250, 0.250, 0.298), Al at (0.167, 0.000, 0.500) and Tl at (0.000, 0.296, 0.000).

The calculation puts the energy of formation from the pure elements at -6 meV per atom. The calculation puts the calculated total energy at -4.12 eV/atom. Its density of states at the Fermi level is 32.247 states/eV per cell.



- Look up the energy of formation from the pure elements of the fifth one.
  -40 meV per atom